Below is an optimized crystal structure of Ho2TiMnO6, with properties calculated at the GGA+U level.

a b c (Å): 5.0446 5.2105 5.2105
angles (deg): 90.00 90.00 90.00
Atoms (fractional coordinates):
Ti: 0.5914 0.0000 0.0000
Ho: 0.9859 0.0000 0.5000
Ho: 0.9859 0.5000 0.0000
O: 0.7364 0.7597 0.2403
O: 0.1582 0.5000 0.5000
O: 0.7364 0.2403 0.2403
O: 0.7364 0.2403 0.7597
O: 0.2260 0.0000 0.0000
O: 0.7364 0.7597 0.7597
Mn: 0.5540 0.5000 0.5000

## Properties
SG: P4mm
uncorrected energy: -83.16 eV per cell

Below is an optimized crystal structure of Ho2UMnO8, with properties calculated at the GGA+U level.

a b c (Å): 4.9610 4.9595 6.6467
angles (deg): 90.00 90.00 92.23
Atoms (fractional coordinates):
O: 0.1767 0.8225 0.2599
O: 0.7039 0.7049 0.9999
O: 0.8231 0.1772 0.2599
O: 0.8233 0.1775 0.7401
O: 0.7224 0.7227 0.5002
O: 0.1769 0.8228 0.7401
O: 0.2776 0.2773 0.4998
O: 0.2961 0.2951 0.0001
Mn: 0.0000 0.0000 0.5000
Ho: 0.5002 0.5002 0.2652
Ho: 0.4998 0.4998 0.7348
U: 0.0000 0.0000 0.0000

## Properties
SG: Cmmm
uncorrected energy: -101.28 eV per cell